A relaxed VOF crystal. Source: Alexandria via LeMat-Bulk, functional GGA+U.

The structure in CIF format:
```
data_VOF
_space_group_name_H-M_alt 'A m a 2'
_space_group_IT_number 40
_cell_length_a 12.509
_cell_length_b 6.691
_cell_length_c 6.663
_cell_angle_alpha 90.00
_cell_angle_beta 90.00
_cell_angle_gamma 90.00
loop_
_space_group_symop_operation_xyz
'x,y,z'
'-x,-y,z'
'-x+1/2,y,z'
'x+1/2,-y,z'
'x,y+1/2,z+1/2'
'-x,-y+1/2,z+1/2'
'-x+1/2,y+1/2,z+1/2'
'x+1/2,-y+1/2,z+1/2'
loop_
_atom_site_label
_atom_site_type_symbol
_atom_site_fract_x
_atom_site_fract_y
_atom_site_fract_z
V1 V 0.000 0.000 0.000
V2 V 0.124 0.031 0.530
V3 V 0.250 0.494 0.559
O1 O 0.000 0.000 0.711
O2 O 0.124 0.318 0.529
O3 O 0.250 0.009 0.347
F1 F 0.000 0.000 0.320
F2 F 0.126 0.210 0.028
F3 F 0.250 0.023 0.741
```

Results
VASP energy ... -7.196 eV per atom
Total magnetization ... 0.67 μB per atom
Calculated volume ... 11.6 Å³ per atom